--- a ---
Computed, not measured: a relaxed structure of Sr2LiO2 at the GGA-PBE level of DFT.

abc: 7.7666 9.6196 4.8167
angles: 90.00 90.00 90.00
Space group Ibam (No. 72)
Symmetry-distinct sites (fractional):
Sr 0.2156 0.1331 0.0000 x8
Li 0.0000 0.5000 0.2500 x4
O 0.1567 0.3896 0.0000 x8

## Properties
The value obtained for the total magnetization is 0.000 μB per formula unit. The density of states at the Fermi level comes out at 3.894 states/eV per cell.

***

--- b ---
Computed, not measured: a relaxed structure of Sr2LiO2 at the GGA-PBE level of DFT.

abc: 4.6309 4.6309 12.0757
angles: 90.00 90.00 90.00
Space group I4/mmm (No. 139)
Symmetry-distinct sites (fractional):
Sr 0.0000 0.0000 0.1874 x4
Li 0.0000 0.0000 0.5000 x2
O 0.0000 0.5000 0.2500 x4

## Properties
The value obtained for the total magnetization is 0.000 μB per formula unit. The density of states at the Fermi level comes out at 3.257 states/eV per cell.

***

--- c ---
Computed, not measured: a relaxed structure of Sr2LiO2 at the GGA-PBE level of DFT.

abc: 7.3572 7.3572 3.1951
angles: 90.00 90.00 90.00
Space group P4/mbm (No. 127)
Symmetry-distinct sites (fractional):
Sr 0.1520 0.3480 0.0000 x4
Li 0.0000 0.0000 0.0000 x2
O 0.1559 0.6559 0.5000 x4

## Properties
The value obtained for the total magnetization is 0.000 μB per formula unit. The density of states at the Fermi level comes out at 2.921 states/eV per cell.

***

The computed energies, referenced to the most stable structure and given in eV/atom, are a 0.000; b 0.207; c 0.480.

***

--- a ---
Computed, not measured: a relaxed structure of SrLi3O at the GGA-PBE level of DFT.

abc: 4.5099 4.5099 4.5099
angles: 90.00 90.00 90.00
Space group Pm-3m (No. 221)
Symmetry-distinct sites (fractional):
Sr 0.0000 0.0000 0.0000 x1
Li 0.0000 0.5000 0.5000 x3
O 0.5000 0.5000 0.5000 x1

## Properties
The value obtained for the total magnetization is 1.017 μB per formula unit. The density of states at the Fermi level comes out at 2.834 states/eV per cell.

***

--- b ---
Computed, not measured: a relaxed structure of SrLi3O at the GGA-PBE level of DFT.

abc: 5.8189 5.8189 5.8189
angles: 90.00 90.00 90.00
Space group Pm-3m (No. 221)
Symmetry-distinct sites (fractional):
Sr 0.0000 0.0000 0.0000 x1
Li 0.0000 0.0000 0.5000 x3
O 0.5000 0.5000 0.5000 x1

## Properties
The value obtained for the total magnetization is 0.000 μB per formula unit. The density of states at the Fermi level comes out at 5.452 states/eV per cell.

***

The computed energies, referenced to the most stable structure and given in eV/atom, are a 0.000; b 1.717.

***

--- a ---
Computed, not measured: a relaxed structure of SrLiO2 at the GGA-PBE level of DFT.

abc: 5.9246 5.9246 5.9246
angles: 90.00 90.00 90.00
Space group Fm-3m (No. 225)
Symmetry-distinct sites (fractional):
Sr 0.0000 0.0000 0.0000 x4
Li 0.0000 0.0000 0.5000 x4
O 0.2500 0.2500 0.2500 x8

## Properties
The value obtained for the total magnetization is 1.000 μB per formula unit. The density of states at the Fermi level comes out at 18.487 states/eV per cell.

***

--- b ---
Computed, not measured: a relaxed structure of SrLiO2 at the GGA-PBE level of DFT.

abc: 3.7165 3.7165 18.1128
angles: 90.00 90.00 120.00
Space group R-3m (No. 166, hexagonal axes)
Symmetry-distinct sites (fractional):
Sr 0.0000 0.0000 0.0000 x3
Li 0.0000 0.0000 0.5000 x3
O 0.0000 0.0000 0.4017 x6

## Properties
The value obtained for the total magnetization is 1.000 μB per formula unit. The density of states at the Fermi level comes out at 21.891 states/eV per cell.

***

--- c ---
Computed, not measured: a relaxed structure of SrLiO2 at the GGA-PBE level of DFT.

abc: 4.5442 4.5442 11.5348
angles: 90.00 90.00 90.00
Space group I-42d (No. 122)
Symmetry-distinct sites (fractional):
Sr 0.0000 0.0000 0.0000 x4
Li 0.0000 0.0000 0.5000 x4
O 0.1485 0.2500 0.6250 x8

## Properties
The value obtained for the total magnetization is 1.000 μB per formula unit. The density of states at the Fermi level comes out at 0.941 states/eV per cell.

***

The computed energies, referenced to the most stable structure and given in eV/atom, are a 0.091; b 0.028; c 0.000.

***

--- a ---
Computed, not measured: a relaxed structure of LiTa3O8 at the GGA-PBE level of DFT.

abc: 17.1005 3.9218 9.0653
angles: 90.00 90.00 90.00
Space group Pmma (No. 51)
Symmetry-distinct sites (fractional):
Li 0.1365 0.0000 0.1548 x4
Ta 0.0585 0.5000 0.8131 x4
Ta 0.1311 0.5000 0.3982 x4
Ta 0.2500 0.5000 0.0420 x2
Ta 0.2500 0.5000 0.6800 x2
O 0.0000 0.5000 0.0000 x2
O 0.0234 0.5000 0.3314 x4
O 0.0640 0.0000 0.8269 x4
O 0.1302 0.5000 0.6134 x4
O 0.1340 0.0000 0.3755 x4
O 0.1619 0.5000 0.1778 x4
O 0.1765 0.5000 0.8678 x4
O 0.2500 0.0000 0.0584 x2
O 0.2500 0.0000 0.6824 x2
O 0.2500 0.5000 0.4502 x2

## Properties
The value obtained for the total magnetization is 0.000 μB per formula unit. The density of states at the Fermi level comes out at 0.000 states/eV per cell.

***

--- b ---
Computed, not measured: a relaxed structure of LiTa3O8 at the GGA-PBE level of DFT.

abc: 9.5260 11.7225 5.1065
angles: 90.00 91.03 90.00
Space group C2/c (No. 15)
Symmetry-distinct sites (fractional):
Li 0.0000 0.1552 0.2500 x4
Ta 0.0000 0.3298 0.7500 x4
Ta 0.2418 0.0861 0.7444 x8
O 0.1160 0.3235 0.0752 x8
O 0.1171 0.1964 0.6085 x8
O 0.1326 0.4352 0.5830 x8
O 0.1471 0.0484 0.0615 x8

## Properties
The value obtained for the total magnetization is 0.000 μB per formula unit. The density of states at the Fermi level comes out at 0.000 states/eV per cell.

***

The computed energies, referenced to the most stable structure and given in eV/atom, are a 0.022; b 0.000.

***

--- a ---
Computed, not measured: a relaxed structure of Li3TaO at the GGA-PBE level of DFT.

abc: 5.2617 5.2617 5.2617
angles: 90.00 90.00 90.00
Space group Pm-3m (No. 221)
Symmetry-distinct sites (fractional):
Li 0.0000 0.0000 0.5000 x3
Ta 0.0000 0.0000 0.0000 x1
O 0.5000 0.5000 0.5000 x1

## Properties
The value obtained for the total magnetization is 4.000 μB per formula unit. The density of states at the Fermi level comes out at 7.254 states/eV per cell.

***

--- b ---
Computed, not measured: a relaxed structure of Li3TaO at the GGA-PBE level of DFT.

abc: 3.9708 3.9708 3.9708
angles: 90.00 90.00 90.00
Space group Pm-3m (No. 221)
Symmetry-distinct sites (fractional):
Li 0.0000 0.0000 0.5000 x3
Ta 0.5000 0.5000 0.5000 x1
O 0.0000 0.0000 0.0000 x1

## Properties
The value obtained for the total magnetization is 0.000 μB per formula unit. The density of states at the Fermi level comes out at 4.921 states/eV per cell.

***

The computed energies, referenced to the most stable structure and given in eV/atom, are a 1.554; b 0.000.

***

--- a ---
Computed, not measured: a relaxed structure of LiTc3O at the GGA-PBE level of DFT.

abc: 4.0892 4.0892 4.0892
angles: 90.00 90.00 90.00
Space group Pm-3m (No. 221)
Symmetry-distinct sites (fractional):
Li 0.0000 0.0000 0.0000 x1
Tc 0.0000 0.0000 0.5000 x3
O 0.5000 0.5000 0.5000 x1

## Properties
The value obtained for the total magnetization is 0.000 μB per formula unit. The density of states at the Fermi level comes out at 5.774 states/eV per cell.

***

--- b ---
Computed, not measured: a relaxed structure of LiTc3O at the GGA-PBE level of DFT.

abc: 4.0485 4.0485 4.0485
angles: 90.00 90.00 90.00
Space group Pm-3m (No. 221)
Symmetry-distinct sites (fractional):
Li 0.0000 0.0000 0.0000 x1
Tc 0.0000 0.5000 0.5000 x3
O 0.5000 0.5000 0.5000 x1

## Properties
The value obtained for the total magnetization is 0.002 μB per formula unit. The density of states at the Fermi level comes out at 6.563 states/eV per cell.

***

The computed energies, referenced to the most stable structure and given in eV/atom, are a 1.710; b 0.000.